No. 1
The following is a DFT calculation (PBE-GGA) of ZrP4W after structural relaxation.

Calculated values
* total moment: 0.000 μB per atom
* ΔE_f: 467 meV/atom
* raw total energy: -40.34 eV per cell

abc: 5.0364 5.0364 5.0364
angles: 60.00 60.00 60.00
Sites, in units of the cell vectors:
Zr: 0.0000 0.0000 0.0000
P: 0.1278 0.6241 0.6241
P: 0.6241 0.1278 0.6241
P: 0.6241 0.6241 0.1278
P: 0.6241 0.6241 0.6241
W: 0.2500 0.2500 0.2500



No. 2
The following is a DFT calculation (PBE-GGA) of LaFe2As after structural relaxation.

Calculated values
* total moment: 1.125 μB per atom
* ΔE_f: -91 meV/atom
* raw total energy: -26.87 eV per cell

abc: 3.2138 3.2138 6.9245
angles: 90.00 90.00 90.00
Sites, in units of the cell vectors:
La: 0.0000 0.0000 0.0000
Fe: 0.0000 0.0000 0.5193
Fe: 0.5000 0.5000 0.6931
As: 0.5000 0.5000 0.3383



No. 3
The following is a DFT calculation (PBE-GGA) of TiCd2Ru after structural relaxation.

Calculated values
* total moment: 0.000 μB per atom
* ΔE_f: 210 meV/atom
* energy above the most stable polymorph in this dataset: 0 meV per atom
* raw total energy: -18.16 eV per cell

abc: 4.6227 4.6227 4.6227
angles: 60.00 60.00 60.00
Sites, in units of the cell vectors:
Ti: 0.0000 0.0000 0.0000
Cd: 0.2500 0.2500 0.2500
Cd: 0.7500 0.7500 0.7500
Ru: 0.5000 0.5000 0.5000



No. 4
The following is a DFT calculation (PBE-GGA) of SrSnAu2 after structural relaxation.

Calculated values
* total moment: 0.000 μB per atom
* ΔE_f: -413 meV/atom
* raw total energy: -27.78 eV per cell

abc: 9.7336 9.7336 9.7336
angles: 148.66 148.66 44.92
Sites, in units of the cell vectors:
Sr: 0.0000 0.0000 0.0000
Sr: 0.7500 0.2500 0.5000
Sn: 0.2500 0.7500 0.5000
Sn: 0.5000 0.5000 0.0000
Au: 0.2462 0.6250 0.1212
Au: 0.3750 0.4962 0.6212
Au: 0.5038 0.1250 0.8788
Au: 0.8750 0.7538 0.3788



No. 5
The following is a DFT calculation (PBE-GGA) of Hf2AlFeTc after structural relaxation.

Calculated values
* total moment: 0.000 μB per atom
* ΔE_f: 751 meV/atom
* raw total energy: -38.72 eV per cell

abc: 4.9794 4.9794 4.3164
angles: 90.00 90.00 90.00
Sites, in units of the cell vectors:
Hf: 0.0000 0.5000 0.0000
Hf: 0.5000 0.0000 0.0000
Al: 0.0000 0.0000 0.5000
Fe: 0.5000 0.5000 0.5000
Tc: 0.5000 0.5000 0.0000



No. 6
The following is a DFT calculation (PBE-GGA) of BaFe3Os after structural relaxation.

Calculated values
* total moment: 1.800 μB per atom
* ΔE_f: 2913 meV/atom
* energy above the most stable polymorph in this dataset: 1984 meV per atom
* raw total energy: -23.98 eV per cell

abc: 4.7324 4.7324 4.7324
angles: 90.00 90.00 90.00
Sites, in units of the cell vectors:
Ba: 0.0000 0.0000 0.0000
Fe: 0.0000 0.0000 0.5000
Fe: 0.0000 0.5000 0.0000
Fe: 0.5000 0.0000 0.0000
Os: 0.5000 0.5000 0.5000



No. 7
The following is a DFT calculation (PBE-GGA) of Ce2CrReN5 after structural relaxation.

Calculated values
* total moment: 0.024 μB per atom
* raw total energy: -167.18 eV per cell

abc: 6.9771 6.9771 9.5599
angles: 90.00 90.00 151.96
Sites, in units of the cell vectors:
Ce: 0.1260 0.8740 0.5000
Ce: 0.1348 0.8652 0.1229
Ce: 0.8652 0.1348 0.6229
Ce: 0.8740 0.1260 0.0000
Cr: 0.4402 0.5598 0.2730
Cr: 0.5598 0.4402 0.7730
Re: 0.1979 0.8021 0.8210
Re: 0.8021 0.1979 0.3210
N: 0.0427 0.9573 0.8608
N: 0.2990 0.7010 0.4650
N: 0.3095 0.6905 0.1852
N: 0.3468 0.6532 0.8185
N: 0.4948 0.5052 0.1090
N: 0.5052 0.4948 0.6090
N: 0.6532 0.3468 0.3185
N: 0.6905 0.3095 0.6852
N: 0.7010 0.2990 0.9650
N: 0.9573 0.0427 0.3608



No. 8
The following is a DFT calculation (PBE-GGA) of DyRh4Au after structural relaxation.

Calculated values
* total moment: 0.047 μB per atom
* ΔE_f: -334 meV/atom
* raw total energy: -39.29 eV per cell

abc: 5.2490 5.2490 5.2490
angles: 60.00 60.00 60.00
Sites, in units of the cell vectors:
Dy: 0.0000 0.0000 0.0000
Rh: 0.3754 0.3754 0.3754
Rh: 0.3754 0.3754 0.8738
Rh: 0.3754 0.8738 0.3754
Rh: 0.8738 0.3754 0.3754
Au: 0.7500 0.7500 0.7500



Copy entry 1 word for word.
The following is a DFT calculation (PBE-GGA) of ZrP4W after structural relaxation.

Calculated values
* total moment: 0.000 μB per atom
* ΔE_f: 467 meV/atom
* raw total energy: -40.34 eV per cell

abc: 5.0364 5.0364 5.0364
angles: 60.00 60.00 60.00
Sites, in units of the cell vectors:
Zr: 0.0000 0.0000 0.0000
P: 0.1278 0.6241 0.6241
P: 0.6241 0.1278 0.6241
P: 0.6241 0.6241 0.1278
P: 0.6241 0.6241 0.6241
W: 0.2500 0.2500 0.2500